## one
LiSmPd3 | Alexandria | PBE | relaxed; density = 9.12 g cm⁻³; total moment = 0.00 μB per formula unit; crystal system = cubic; space group = Pm-3m, No. 221
1.0
-1.599 -2.891 -2.948
3.716 -2.385 0.324
-1.799 -2.357 3.288
Pd Sm Li
3 1 1
Cartesian
1.858 -1.192 0.162 Pd
-0.900 -1.179 1.644 Pd
-0.799 -1.446 -1.474 Pd
0.159 -3.817 0.332 Sm
0.000 0.000 0.000 Li

=====

## two
LiSmPd3 | Alexandria | PBE | relaxed; density = 9.05 g cm⁻³; total moment = 0.00 μB per formula unit; crystal system = hexagonal; space group = P6_3/mmc, No. 194
1.0
-0.072 5.643 -2.417
0.207 -2.108 -4.925
-5.275 -2.955 1.043
Li Sm Pd
2 2 6
Cartesian
-3.955 3.091 -2.369 Li
-3.852 2.038 -4.832 Li
-1.993 -1.268 -4.796 Sm
-0.363 2.656 -3.491 Sm
-0.509 -0.169 -2.286 Pd
-1.847 1.557 -6.000 Pd
-4.725 -2.602 -4.343 Pd
-4.755 -0.071 -5.426 Pd
-2.877 -1.496 -1.819 Pd
-2.907 1.035 -2.902 Pd

=====

Name the least stable of them. one.

=====

## one
Li2SmPd | Alexandria | PBE | relaxed; density = 5.39 g cm⁻³; total moment = 0.00 μB per formula unit; crystal system = monoclinic; space group = P2_1/m, No. 11
1.0
-1.979 1.693 -3.151
0.343 -5.437 -0.474
-6.968 -0.785 3.955
Li Sm Pd
4 2 2
Cartesian
-0.826 -3.145 -1.161 Li
-3.529 -3.450 0.373 Li
-7.778 -1.383 1.490 Li
-5.076 -1.078 -0.044 Li
-1.811 -0.706 0.765 Sm
-6.793 -3.822 -0.436 Sm
-3.073 -1.781 -1.671 Pd
-5.531 -2.747 2.000 Pd

=====

## two
Li2SmPd | Alexandria | PBE | relaxed; density = 6.09 g cm⁻³; total moment = 0.00 μB per formula unit; crystal system = trigonal; space group = R-3m, No. 166
1.0
4.702 0.000 0.000
2.351 4.072 0.000
2.351 1.357 3.855
Pd Sm Li
1 1 2
Cartesian
4.702 2.714 1.927 Pd
0.000 0.000 0.000 Sm
2.351 1.357 0.969 Li
7.052 4.072 2.886 Li

=====

Name the least stable of them. two.

=====

## one
LiSn2Pd3 | Alexandria | PBE | relaxed; density = 7.35 g cm⁻³; total moment = 0.00 μB per formula unit; crystal system = orthorhombic; space group = Imma, No. 74
1.0
6.618 0.000 0.000
0.000 7.826 0.000
-3.309 -3.913 4.914
Li Sn Pd
2 4 6
Cartesian
2.697 0.000 2.457 Li
0.612 3.913 2.457 Li
-2.035 3.913 4.221 Sn
-1.274 0.000 4.221 Sn
4.583 3.913 0.693 Sn
5.344 0.000 0.693 Sn
0.000 5.472 0.000 Pd
0.000 2.354 0.000 Pd
3.309 6.267 0.000 Pd
-1.655 -1.957 2.457 Pd
-1.655 1.957 2.457 Pd
3.309 1.559 0.000 Pd

=====

## two
LiSn2Pd3 | Alexandria | PBE | relaxed; density = 9.16 g cm⁻³; total moment = 0.00 μB per formula unit; crystal system = trigonal; space group = P-3m1, No. 164
1.0
4.569 0.000 0.000
-2.285 3.957 0.000
0.000 0.000 11.305
Li Sn Pd
2 4 6
Cartesian
0.000 2.638 7.533 Li
2.285 1.319 3.771 Li
0.000 0.000 5.652 Sn
0.000 2.638 2.142 Sn
2.285 1.319 9.162 Sn
0.000 0.000 0.000 Sn
0.000 2.638 4.851 Pd
2.285 1.319 0.937 Pd
0.000 0.000 8.439 Pd
0.000 0.000 2.866 Pd
0.000 2.638 10.368 Pd
2.285 1.319 6.454 Pd

=====

Name the least stable of them. one.

=====

## one
Li3SnPd4 | Alexandria | PBE | relaxed; density = 7.65 g cm⁻³; total moment = 0.00 μB per formula unit; crystal system = monoclinic; space group = C2/m, No. 12
1.0
-2.026 1.194 3.367
-3.156 1.114 -2.294
2.875 -9.010 2.420
Li Sn Pd
3 1 4
Cartesian
-1.578 0.557 -1.147 Li
-0.806 -1.885 0.183 Li
-1.501 -4.818 3.309 Li
-1.013 0.597 1.683 Sn
0.974 -6.233 2.796 Pd
-3.281 -0.469 0.697 Pd
-2.438 -2.750 2.012 Pd
0.131 -3.952 1.480 Pd

=====

## two
Li3SnPd4 | Alexandria | PBE | relaxed; density = 8.00 g cm⁻³; total moment = 0.00 μB per formula unit; crystal system = tetragonal; space group = I4/mmm, No. 139
1.0
4.252 0.000 -1.148
-0.305 4.246 -1.129
-0.454 -0.512 6.769
Sn Pd Li
1 4 3
Cartesian
2.126 0.000 -0.574 Sn
1.122 1.191 4.158 Pd
2.371 2.543 0.333 Pd
0.397 0.421 1.472 Pd
3.096 3.313 3.020 Pd
-0.152 2.123 -0.565 Li
2.899 0.817 2.288 Li
0.595 2.917 2.203 Li

=====

Name the least stable of them. one.

=====

## one
LiSnPd4 | Alexandria | PBE | relaxed; density = 8.70 g cm⁻³; total moment = 0.00 μB per formula unit; crystal system = cubic; space group = F-43m, No. 216
1.0
5.299 0.000 0.000
2.649 4.589 0.000
2.649 1.530 4.326
Sn Pd Li
1 4 1
Cartesian
2.649 1.530 1.082 Sn
5.299 3.059 0.542 Pd
5.299 1.530 2.704 Pd
6.622 3.823 2.704 Pd
3.975 3.823 2.704 Pd
0.000 0.000 0.000 Li

=====

## two
LiSnPd4 | Alexandria | PBE | relaxed; density = 9.78 g cm⁻³; total moment = 0.00 μB per formula unit; crystal system = orthorhombic; space group = Cmmm, No. 65
1.0
4.145 0.000 -0.122
0.000 10.873 0.000
0.120 0.000 4.148
Li Sn Pd
2 2 8
Cartesian
2.133 0.000 2.013 Li
0.060 5.437 2.074 Li
0.000 0.000 0.000 Sn
2.073 5.437 -0.061 Sn
0.000 7.189 0.000 Pd
2.193 1.752 4.087 Pd
2.133 3.697 2.013 Pd
0.060 9.134 2.074 Pd
4.265 3.684 4.026 Pd
2.073 9.121 -0.061 Pd
2.133 7.176 2.013 Pd
4.205 1.740 1.952 Pd

=====

## three
LiSnPd4 | Alexandria | PBE | relaxed; density = 9.72 g cm⁻³; total moment = 0.00 μB per formula unit; crystal system = monoclinic; space group = C2/m, No. 12
1.0
-5.571 -3.156 -4.016
-0.983 -5.277 -1.613
-5.001 -4.385 3.263
Li Sn Pd
2 2 8
Cartesian
-9.639 -8.389 -1.381 Li
-1.916 -4.428 -0.984 Li
-4.970 -8.099 -0.979 Sn
-6.585 -4.718 -1.386 Sn
-7.385 -7.321 -2.344 Pd
-4.250 -3.449 -2.087 Pd
-1.445 -1.862 -0.068 Pd
-6.816 -6.710 0.490 Pd
-4.170 -5.496 -0.021 Pd
-7.305 -9.369 -0.278 Pd
-10.109 -10.956 -2.297 Pd
-4.739 -6.107 -2.856 Pd

=====

Name the least stable of them. one.

=====

## one
Li2Sn3Pd2 | Alexandria | PBE | relaxed; density = 6.56 g cm⁻³; total moment = 0.00 μB per formula unit; crystal system = monoclinic; space group = C2/m, No. 12
1.0
4.383 0.000 0.000
-2.191 5.026 -0.205
0.000 -2.569 6.801
Li Sn Pd
2 3 2
Cartesian
2.191 2.905 1.050 Li
0.000 -0.447 5.546 Li
2.191 0.000 0.000 Sn
2.191 0.133 3.079 Sn
0.000 2.325 3.517 Sn
2.191 1.769 5.238 Pd
0.000 0.688 1.358 Pd

=====

## two
Li2Sn3Pd2 | Alexandria | PBE | relaxed; density = 6.61 g cm⁻³; total moment = 0.00 μB per formula unit; crystal system = monoclinic; space group = C2/m, No. 12
1.0
-0.956 -4.724 -2.066
4.170 3.109 -0.666
0.105 -4.230 6.358
Li Sn Pd
2 3 2
Cartesian
2.292 -2.835 4.372 Li
1.028 -3.009 -0.747 Li
0.000 0.000 0.000 Sn
3.054 -2.749 1.483 Sn
0.266 -3.096 2.142 Sn
2.590 -0.654 -0.301 Pd
0.730 -5.191 3.927 Pd

=====

Name the least stable of them. two.